A plane-wave DFT calculation with PBE with a Hubbard U was carried out for a geometry-optimized Rb2NiSeO4 structure.

Its uncorrected energy is -4.38 eV/atom. For the volume, the calculation gives 22.753 A^3/atom. The calculation puts the calculated density at 3399 kg/m3. The value obtained for the magnetization is 3.23 μB/cell.

Cell lengths 12.766, 11.774, 6.330 Å; angles 83.94, 66.51, 29.55 degrees
Fractional coordinates of all 16 atoms:
1 Rb 0.039 0.039 0.711
2 Rb 0.289 0.289 0.961
3 Rb 0.711 0.711 0.039
4 Rb 0.961 0.961 0.289
5 Ni 0.125 0.125 0.125
6 Ni 0.875 0.875 0.875
7 Se 0.375 0.375 0.375
8 Se 0.625 0.625 0.625
9 O 0.064 0.574 0.688
10 O 0.174 0.688 0.574
11 O 0.312 0.826 0.936
12 O 0.426 0.936 0.826
13 O 0.574 0.064 0.174
14 O 0.688 0.174 0.064
15 O 0.826 0.312 0.426
16 O 0.936 0.426 0.312